# Sn3SbCl, optimized geometry, DFT GGA-PBE
data_Sn3SbCl
_cell_length_a 5.434
_cell_length_b 5.434
_cell_length_c 5.434
_cell_angle_alpha 90.00
_cell_angle_beta 90.00
_cell_angle_gamma 90.00
_symmetry_space_group_name_H-M 'P m -3 m'
_symmetry_Int_Tables_number 221
_symmetry_space_group_name_Hall '-P 4 2 3'
loop_
_atom_site_label
_atom_site_type_symbol
_atom_site_fract_x
_atom_site_fract_y
_atom_site_fract_z
Sn1 Sn 0.000 0.000 0.500
Sb1 Sb 0.500 0.500 0.500
Cl1 Cl 0.000 0.000 0.000
# **Distance to the lowest polymorph of the same formula**: 0.0 meV per atom
# **VASP energy**: -3.19 eV/atom
# **Formation energy without anion corrections**: 406 meV/atom
# **Magnetization**: 0.000 μB/cell

=====

# Sn4Sb3Cl, optimized geometry, DFT GGA-PBE
data_Sn4Sb3Cl
_cell_length_a 4.362
_cell_length_b 12.680
_cell_length_c 8.703
_cell_angle_alpha 90.00
_cell_angle_beta 90.00
_cell_angle_gamma 90.00
_symmetry_space_group_name_H-M 'A m m 2'
_symmetry_Int_Tables_number 38
loop_
_symmetry_equiv_pos_as_xyz
'x,y,z'
'-x,-y,z'
'-x,y,z'
'x,-y,z'
'x,y+1/2,z+1/2'
'-x,-y+1/2,z+1/2'
'-x,y+1/2,z+1/2'
'x,-y+1/2,z+1/2'
loop_
_atom_site_label
_atom_site_type_symbol
_atom_site_fract_x
_atom_site_fract_y
_atom_site_fract_z
Sn1 Sn 0.000 0.000 0.000
Sn2 Sn 0.000 0.000 0.488
Sn3 Sn 0.500 0.238 0.244
Sb1 Sb 0.000 0.250 0.493
Sb2 Sb 0.500 0.000 0.244
Cl1 Cl 0.500 0.000 0.743
# **VASP energy**: -3.91 eV/atom
# **Formation energy without anion corrections**: -133 meV/atom
# **Magnetization**: 0.000 μB/cell

=====

# SnSb2Cl, optimized geometry, DFT GGA-PBE
data_SnSb2Cl
_cell_length_a 7.395
_cell_length_b 7.395
_cell_length_c 7.395
_cell_angle_alpha 90.00
_cell_angle_beta 90.00
_cell_angle_gamma 90.00
_symmetry_space_group_name_H-M 'F m -3 m'
_symmetry_Int_Tables_number 225
_symmetry_space_group_name_Hall '-F 4 2 3'
loop_
_atom_site_label
_atom_site_type_symbol
_atom_site_fract_x
_atom_site_fract_y
_atom_site_fract_z
Sn1 Sn 0.000 0.000 0.000
Sb1 Sb 0.250 0.250 0.250
Cl1 Cl 0.000 0.000 0.500
# **Distance to the lowest polymorph of the same formula**: 0.0 meV per atom
# **VASP energy**: -3.52 eV/atom
# **Formation energy without anion corrections**: 8 meV/atom
# **Magnetization**: 0.000 μB/cell